Computed, not measured: a relaxed structure of ZrSn at the PBE level of DFT.

Output
Energy   -6.636 eV/atom

Geometry as CIF:
```
data_ZrSn
_chemical_formula_sum 'Zr2 Sn2'
_space_group_name_H-M_alt 'P m m a'
_space_group_IT_number 51
_cell_length_a 5.382
_cell_length_b 3.116
_cell_length_c 5.394
_cell_angle_alpha 90.00
_cell_angle_beta 90.00
_cell_angle_gamma 90.00
loop_
_space_group_symop_operation_xyz
'x,y,z'
'-x,-y,-z'
'-x+1/2,-y,z'
'x+1/2,y,-z'
'x+1/2,-y,-z'
'-x+1/2,y,z'
'-x,y,-z'
'x,-y,z'
loop_
_atom_site_label
_atom_site_type_symbol
_atom_site_fract_x
_atom_site_fract_y
_atom_site_fract_z
_atom_site_occupancy
Zr1 Zr 0.250 0.000 0.245 1
Sn1 Sn 0.250 0.500 0.745 1
```